Entry 1:
Entry from the Alexandria database: a relaxed CdMoP2Cl crystal (PBE).

Properties
M_tot: 0.000 μB/f.u.
E above lowest polymorph: 0.000 eV per atom
Density: 4.5 Mg/m³

Cell: 4.673 4.673 5.119 Å, 90.00 90.00 90.00°
Atoms (fractional coordinates):
1 Cd 0.000 0.000 0.000
2 Mo 0.500 0.500 0.500
3 P 0.000 0.500 0.500
4 P 0.500 0.000 0.500
5 Cl 0.500 0.500 0.000

---

Entry 2:
Entry from the Alexandria database: a relaxed CdMoP2Cl crystal (PBE).

Properties
M_tot: 2.945 μB/f.u.
E above lowest polymorph: 1.119 eV per atom
Density: 4.1 Mg/m³

Cell: 4.936 4.936 5.098 Å, 90.00 90.00 90.00°
Atoms (fractional coordinates):
1 Cd 0.000 0.000 0.000
2 Mo 0.500 0.500 0.500
3 P 0.000 0.500 0.000
4 P 0.500 0.000 0.000
5 Cl 0.000 0.000 0.500

---

Entry 3:
Entry from the Alexandria database: a relaxed CdMoPCl2 crystal (PBE).

Properties
M_tot: 0.977 μB/f.u.
E above lowest polymorph: 0.000 eV per atom
Density: 4.5 Mg/m³

Cell: 4.899 4.899 4.789 Å, 90.00 90.00 90.00°
Atoms (fractional coordinates):
1 Cd 0.000 0.000 0.000
2 Mo 0.500 0.500 0.500
3 P 0.500 0.500 0.000
4 Cl 0.000 0.500 0.500
5 Cl 0.500 0.000 0.500

---

| no. | uncorrected formation energy (eV per formula unit) |
| --- | --- |
| 1 | 0.966 |
| 2 | 6.563 |
| 3 | 0.053 |